# Zn2AuSe

An optimized crystal structure of Zn2AuSe (PBE-GGA, the Alexandria database).

The value obtained for the magnetic moment is 0.0 μB/cell. The calculation puts the formation energy from raw total energies at -0.20 eV per atom. The space-group type is No. 12. The total energy comes out at -10.1 eV/cell. The density is 8.79 Mg/m³.

Lattice parameters (Å, degrees): 3.821 3.821 6.482 72.89 72.89 59.68
Sites, in units of the cell vectors:
Au  0.250  0.250  0.250
Se  0.750  0.750  0.750
Zn  0.000  0.000  0.001
Zn  0.500  0.500  0.499